(1)
A relaxed structure of ZnTe, computed with PBE.

Output
Total moment in μB per formula unit: 0.00
Energy relative to the elements, uncorrected in meV/atom: -320
SG: P2_12_12_1

a b c (Å): 7.256 7.406 9.526
angles (deg): 90.00 90.00 90.00
Fractional positions:
Zn 0.609 0.614 0.710
Zn 0.391 0.114 0.790
Te 0.289 0.458 0.772
Zn 0.885 0.875 0.974
Te 0.260 0.048 0.511
Zn 0.615 0.125 0.474
Te 0.789 0.042 0.228
Zn 0.891 0.386 0.210
Zn 0.385 0.625 0.026
Zn 0.115 0.375 0.526
Te 0.740 0.548 0.989
Te 0.240 0.952 0.011
Te 0.711 0.958 0.728
Zn 0.109 0.886 0.290
Te 0.760 0.452 0.489
Te 0.211 0.542 0.272


(2)
A relaxed structure of Th2Ga3Ni4Sn, computed with PBE.

Output
Total moment in μB per formula unit: 0.00
Energy in eV/atom: -5.6691
SG: P-4m2

a b c (Å): 4.241 4.241 9.948
angles (deg): 90.00 90.00 90.00
Fractional positions:
Ni 0.500 0.000 0.642
Ni 0.000 0.000 0.000
Ga 0.000 0.000 0.500
Th 0.500 0.000 0.232
Th 0.000 0.500 0.768
Ga 0.500 0.000 0.881
Ni 0.500 0.500 0.000
Ni 0.000 0.500 0.358
Sn 0.500 0.500 0.500
Ga 0.000 0.500 0.119


(3)
A relaxed structure of Ac6TlIr4, computed with PBE.

Output
Total moment in μB per formula unit: 0.00
Energy in eV/atom: -6.2327
SG: Cmcm

a b c (Å): 4.356 7.611 22.410
angles (deg): 90.00 90.00 106.63
Fractional positions:
Ir 0.600 0.199 0.628
Tl 0.345 0.690 0.750
Ir 0.136 0.272 0.042
Ac 0.768 0.537 0.081
Ac 0.034 0.069 0.152
Ac 0.966 0.931 0.652
Ac 0.232 0.463 0.581
Ac 0.500 0.000 0.000
Ir 0.600 0.199 0.872
Tl 0.655 0.310 0.250
Ac 0.500 0.000 0.500
Ir 0.400 0.801 0.372
Ac 0.966 0.931 0.848
Ac 0.034 0.069 0.348
Ac 0.768 0.537 0.419
Ir 0.864 0.728 0.958
Ac 0.661 0.322 0.750
Ir 0.864 0.728 0.542
Ir 0.400 0.801 0.128
Ir 0.136 0.272 0.458
Ac 0.339 0.678 0.250
Ac 0.232 0.463 0.919


(4)
A relaxed structure of Li2TaAu2, computed with PBE.

Output
Total moment in μB per formula unit: 0.00
Energy above the most stable polymorph in this dataset in meV/atom: 0
SG: P4/mbm

a b c (Å): 7.446 7.446 2.763
angles (deg): 90.00 90.00 90.00
Fractional positions:
Au 0.188 0.688 0.500
Au 0.688 0.812 0.500
Ta 0.500 0.500 0.000
Li 0.888 0.612 0.000
Li 0.388 0.888 0.000
Ta 0.000 0.000 0.000
Li 0.612 0.112 0.000
Au 0.812 0.312 0.500
Au 0.312 0.188 0.500
Li 0.112 0.388 0.000


(5)
A relaxed structure of Mg2V2Bi, computed with PBE.

Output
Total moment in μB per formula unit: 0.00
Energy above the most stable polymorph in this dataset in meV/atom: 82
SG: P-1

a b c (Å): 5.288 5.513 7.549
angles (deg): 71.91 87.98 85.44
Fractional positions:
Bi 0.057 0.248 0.257
Bi 0.943 0.752 0.743
Mg 0.500 0.500 0.000
V 0.740 0.293 0.701
V 0.260 0.707 0.299
Mg 0.500 0.000 0.500
Mg 0.740 0.917 0.104
Mg 0.260 0.083 0.896
V 0.741 0.527 0.444
V 0.259 0.473 0.556


(6)
A relaxed structure of HfHRu, computed with PBE.

Output
Total moment in μB per formula unit: 0.00
Energy above the most stable polymorph in this dataset in meV/atom: 0
SG: P4/nmm

a b c (Å): 3.152 3.152 7.652
angles (deg): 90.00 90.00 90.00
Fractional positions:
Hf 0.000 0.500 0.819
H 0.000 0.000 0.000
H 0.500 0.500 0.000
Hf 0.500 0.000 0.181
Ru 0.000 0.500 0.385
Ru 0.500 0.000 0.615


(7)
A relaxed structure of NaCaRu2, computed with PBE.

Output
Total moment in μB per formula unit: 0.00
Energy above the most stable polymorph in this dataset in meV/atom: 2
SG: P2_1/m

a b c (Å): 4.348 4.231 11.126
angles (deg): 90.00 92.34 90.00
Fractional positions:
Ca 0.731 0.250 0.716
Ru 0.692 0.750 0.503
Ru 0.829 0.250 0.393
Na 0.242 0.750 0.906
Ca 0.269 0.750 0.284
Ru 0.171 0.750 0.607
Ru 0.308 0.250 0.497
Na 0.758 0.250 0.094


(8)
A relaxed structure of CeYLuPa, computed with PBE.

Output
Total moment in μB per formula unit: 4.50
Energy in eV/atom: -6.2441
SG: F-43m

a b c (Å): 5.510 5.510 5.510
angles (deg): 60.00 60.00 60.00
Fractional positions:
Ce 0.750 0.750 0.750
Lu 0.000 0.000 0.000
Y 0.250 0.250 0.250
Pa 0.500 0.500 0.500


(9)
A relaxed structure of Er2Ga6Ir, computed with PBE.

Output
Total moment in μB per formula unit: 0.00
Energy in eV/atom: -4.5707
SG: C2/m

a b c (Å): 5.826 5.891 5.891
angles (deg): 56.62 97.64 97.64
Fractional positions:
Ga 0.667 0.147 0.625
Ga 0.292 0.840 0.840
Ga 0.667 0.625 0.147
Er 0.144 0.354 0.354
Ga 0.333 0.853 0.375
Ga 0.708 0.160 0.160
Ir 0.000 0.000 0.000
Er 0.856 0.646 0.646
Ga 0.333 0.375 0.853


(10)
A relaxed structure of ZrAl2Zn, computed with PBE.

Output
Total moment in μB per formula unit: 0.00
Energy in eV/atom: -4.5821
SG: Pmm2

a b c (Å): 4.425 3.045 5.396
angles (deg): 89.97 90.00 90.00
Fractional positions:
Al 0.000 0.249 0.984
Zr 0.500 0.750 0.754
Al 0.500 0.251 0.256
Zn 0.000 0.250 0.507


(11)
A relaxed structure of Tc2Sb2Te, computed with PBE.

Output
Total moment in μB per formula unit: 0.00
Energy relative to the elements, uncorrected in meV/atom: 448
Energy above the most stable polymorph in this dataset in meV/atom: 247
SG: I4/mmm

a b c (Å): 4.259 4.259 6.740
angles (deg): 71.58 71.58 90.00
Fractional positions:
Sb 0.750 0.250 0.500
Tc 0.612 0.612 0.776
Tc 0.388 0.388 0.224
Sb 0.250 0.750 0.500
Te 0.000 0.000 0.000


(12)
A relaxed structure of Ag4BiAu4, computed with PBE.

Output
Total moment in μB per formula unit: 0.00
Energy above the most stable polymorph in this dataset in meV/atom: 0
SG: I4/mmm

a b c (Å): 4.180 6.772 6.772
angles (deg): 84.53 72.02 72.02
Fractional positions:
Bi 0.000 0.000 0.000
Ag 0.000 0.660 0.340
Au 0.674 0.000 0.652
Au 0.326 0.348 0.000
Ag 0.000 0.340 0.660
Ag 0.660 0.340 0.340
Au 0.674 0.652 0.000
Ag 0.340 0.660 0.660
Au 0.326 0.000 0.348


(13)
A relaxed structure of AcTmGaSn, computed with PBE.

Output
Total moment in μB per formula unit: 0.00
Energy in eV/atom: -4.3740
SG: F-43m

a b c (Å): 5.439 5.439 5.439
angles (deg): 60.00 60.00 60.00
Fractional positions:
Ac 0.750 0.750 0.750
Tm 0.250 0.250 0.250
Sn 0.500 0.500 0.500
Ga 0.000 0.000 0.000


(14)
A relaxed structure of Li6Zn12Ag, computed with PBE.

Output
Total moment in μB per formula unit: 0.00
Energy above the most stable polymorph in this dataset in meV/atom: 0
SG: R-3

a b c (Å): 6.592 6.592 6.592
angles (deg): 91.11 91.11 91.11
Fractional positions:
Li 0.727 0.884 0.268
Zn 0.201 0.477 0.558
Li 0.116 0.732 0.273
Zn 0.380 0.046 0.156
Zn 0.558 0.201 0.477
Zn 0.620 0.954 0.844
Zn 0.954 0.844 0.620
Zn 0.442 0.799 0.523
Li 0.268 0.727 0.884
Zn 0.156 0.380 0.046
Zn 0.844 0.620 0.954
Li 0.732 0.273 0.116
Zn 0.523 0.442 0.799
Zn 0.477 0.558 0.201
Zn 0.046 0.156 0.380
Li 0.273 0.116 0.732
Ag 0.000 0.000 0.000
Zn 0.799 0.523 0.442
Li 0.884 0.268 0.727


(15)
A relaxed structure of TmBiTe3, computed with PBE.

Output
Total moment in μB per formula unit: 0.00
Energy relative to the elements, uncorrected in meV/atom: -786
Energy above the most stable polymorph in this dataset in meV/atom: 0
SG: P2_1/m

a b c (Å): 4.373 7.572 11.352
angles (deg): 101.98 90.00 90.00
Fractional positions:
Te 0.250 0.040 0.852
Bi 0.250 0.862 0.351
Te 0.750 0.743 0.504
Tm 0.250 0.732 0.991
Bi 0.750 0.138 0.649
Tm 0.750 0.268 0.009
Te 0.750 0.960 0.148
Te 0.750 0.529 0.835
Te 0.250 0.257 0.496
Te 0.250 0.471 0.165


(16)
A relaxed structure of Dy3ThRu8, computed with PBE.

Output
Total moment in μB per formula unit: 0.00
Energy in eV/atom: -8.2558
SG: R3m

a b c (Å): 5.346 5.346 9.333
angles (deg): 73.36 73.36 60.00
Fractional positions:
Th 0.875 0.875 0.375
Ru 0.438 0.438 0.184
Ru 0.688 0.688 0.937
Ru 0.938 0.434 0.691
Ru 0.941 0.438 0.184
Dy 0.001 0.001 0.996
Ru 0.438 0.941 0.184
Ru 0.187 0.187 0.439
Dy 0.499 0.499 0.504
Dy 0.375 0.375 0.874
Ru 0.938 0.938 0.691
Ru 0.434 0.938 0.691


(17)
A relaxed structure of LiTcAs2, computed with PBE.

Output
Total moment in μB per formula unit: 0.00
Energy above the most stable polymorph in this dataset in meV/atom: 401
SG: I-42d

a b c (Å): 5.982 5.982 6.834
angles (deg): 64.05 64.05 90.00
Fractional positions:
Tc 0.000 0.000 0.000
As 0.375 0.334 0.750
As 0.875 0.916 0.750
Li 0.500 0.500 0.000
As 0.084 0.625 0.250
Li 0.250 0.750 0.500
Tc 0.750 0.250 0.500
As 0.666 0.125 0.250


(18)
A relaxed structure of Pm5DyY, computed with PBE.

Output
Total moment in μB per formula unit: 0.00
Energy above the most stable polymorph in this dataset in meV/atom: 0
SG: P-1

a b c (Å): 6.704 9.660 6.277
angles (deg): 43.46 95.94 74.82
Fractional positions:
Pm 0.500 0.000 0.000
Dy 0.500 0.500 0.500
Pm 0.691 0.192 0.307
Pm 0.915 0.586 0.141
Pm 0.309 0.808 0.693
Y 0.000 0.000 0.000
Pm 0.085 0.414 0.859


(19)
A relaxed structure of MnReH2W, computed with PBE.

Output
Total moment in μB per formula unit: 2.17
Energy in eV/atom: -7.2693
SG: P4/mmm

a b c (Å): 3.526 5.031 3.526
angles (deg): 90.00 90.00 90.00
Fractional positions:
W 0.000 0.000 0.000
H 0.000 0.000 0.500
H 0.500 0.000 0.000
Mn 0.500 0.500 0.500
Re 0.000 0.500 0.000


(20)
A relaxed structure of PuIn2HgO8, computed with PBE.

Output
Total moment in μB per formula unit: 1.17
Energy relative to the elements, uncorrected in meV/atom: -1435
SG: P-1

a b c (Å): 5.026 5.028 6.832
angles (deg): 86.54 93.49 93.27
Fractional positions:
O 0.310 0.311 0.500
O 0.300 0.302 0.000
Hg 0.000 0.000 0.500
Pu 0.000 0.000 0.000
O 0.795 0.203 0.814
In 0.521 0.479 0.254
O 0.690 0.689 0.500
O 0.205 0.797 0.186
In 0.479 0.521 0.746
O 0.821 0.178 0.236
O 0.700 0.698 0.000
O 0.179 0.822 0.764